No. 1
A plane-wave DFT calculation with PBE-GGA was carried out for an optimized crystal structure of LiCaI2.

a b c (Å): 8.1856 8.1856 8.1856
angles (deg): 129.66 129.66 73.95
With the nearest neighbours (Å) after each atom.
Sites, in units of the cell vectors:
Li  0.0000  0.0000  0.0000  4 I 2.79
Li  0.7500  0.2500  0.5000  4 I 2.79
Ca  0.2500  0.7500  0.5000  4 I 3.14
Ca  0.5000  0.5000  0.0000  4 I 3.14
I  0.0812  0.6250  0.9562  2 Li 2.79
I  0.3750  0.3312  0.4562  2 Li 2.79
I  0.6688  0.1250  0.0438  2 Li 2.79
I  0.8750  0.9188  0.5438  2 Li 2.79

Output
- Total magnetization: 0.9 μB/f.u.
- DOS at the Fermi energy: 6.41 states/eV per cell
- Polymorph energy (0 for the lowest one): 75 meV per atom
- Energy relative to the elements, uncorrected: -0.93 eV/atom
- Calculated total energy: -2.69 eV per atom

=====

No. 2
A plane-wave DFT calculation with PBE-GGA was carried out for an optimized crystal structure of LiCa2I.

a b c (Å): 3.9169 3.9169 8.5903
angles (deg): 90.00 90.00 90.00
With the nearest neighbours (Å) after each atom.
Sites, in units of the cell vectors:
Li  0.0000  0.0000  0.0000  8 Ca 3.39
Ca  0.5000  0.5000  0.2284  4 Li 3.39, 4 I 3.62
Ca  0.5000  0.5000  0.7716  4 Li 3.39, 4 I 3.62
I  0.0000  0.0000  0.5000  8 Ca 3.62, 4 I 3.92

Output
- Total magnetization: 0.0 μB/f.u.
- DOS at the Fermi energy: 3.08 states/eV per cell
- Polymorph energy (0 for the lowest one): 0 meV per atom
- Energy relative to the elements, uncorrected: -0.44 eV/atom
- Calculated total energy: -2.30 eV per atom

=====

No. 3
A plane-wave DFT calculation with PBE-GGA was carried out for an optimized crystal structure of LiCa2I2.

a b c (Å): 7.7514 7.7514 7.7514
angles (deg): 137.92 137.92 61.02
With the nearest neighbours (Å) after each atom.
Sites, in units of the cell vectors:
Li  0.0000  0.0000  0.0000  8 Ca 4.35, 10 I 4.37-4.77
Ca  0.2500  0.7500  0.5000  4 I 3.13
Ca  0.7500  0.2500  0.5000  4 I 3.13
I  0.3575  0.3575  0.0000  4 Ca 3.13
I  0.6425  0.6425  0.0000  4 Ca 3.13

Output
- Total magnetization: 1.0 μB/f.u.
- DOS at the Fermi energy: 3.38 states/eV per cell
- Energy relative to the elements, uncorrected: -0.52 eV/atom
- Calculated total energy: -2.32 eV per atom